Below is a geometry-optimized Rb2Ge2Se5 structure, with properties calculated at the GGA-PBE level.

Unit cell a=17.281 b=17.280 c=9.128 alpha=90.00 beta=90.17 gamma=90.00
Space group C2/c (No. 15)
Asymmetric unit:
1 Rb 0.146 0.103 0.069 [8 per cell]
2 Rb 0.147 0.396 0.432 [8 per cell]
3 Ge 0.080 0.170 0.602 [8 per cell]
4 Ge 0.081 0.331 0.898 [8 per cell]
5 Se 0.000 0.087 0.750 [4 per cell]
6 Se 0.000 0.251 0.055 [8 per cell]
7 Se 0.000 0.415 0.750 [4 per cell]
8 Se 0.157 0.093 0.458 [8 per cell]
9 Se 0.158 0.408 0.043 [8 per cell]
10 Se 0.164 0.251 0.750 [8 per cell]

Output
Formation energy from raw total energies ... -0.7149 eV/atom
Calculated total energy ... -3.89 eV/atom
Excess energy over the best structure of this formula in the dataset ... 0.000 eV/f.u.